First-principles (PBE) data for Zn2SbP after structural relaxation, as listed in Alexandria.

It has space group Fm-3m (No. 225), with a = 6.7136 Å, b = 6.7136 Å, c = 6.7136 Å, α = 90.00°, β = 90.00° and γ = 90.00°. The asymmetric unit holds Zn at (0.2500, 0.2500, 0.2500), Sb at (0.0000, 0.0000, 0.0000) and P at (0.0000, 0.0000, 0.5000).

As for the calculated total energy: -41.9 eV per cell. The calculation puts the energy above the most stable polymorph in this dataset at 338 meV/atom. The calculation puts the size of the total moment at 0.000 μB per atom. The calculation puts the uncorrected formation energy at 0.40 eV/atom. For the theoretical density, the calculation gives 6.2 g/cm³.